1.
DFT (PBE) results for a geometry-optimized Mg2BiTeP structure.

Uncorrected formation energy ... 3.778 eV per formula unit

a b c (Å): 5.346 5.346 6.016
angles (deg): 90.00 90.00 90.00
Atoms (fractional coordinates):
1 Mg 0.000 0.500 0.000
2 Mg 0.500 0.000 0.000
3 Bi 0.000 0.000 0.000
4 Te 0.000 0.000 0.500
5 P 0.500 0.500 0.500


2.
DFT (PBE) results for a geometry-optimized MgPa2Bi5 structure.

Energy relative to the elements ... -0.162 eV per atom

a b c (Å): 7.907 13.001 4.559
angles (deg): 90.00 90.00 90.00
Atoms (fractional coordinates):
1 Mg 0.000 0.000 0.000
2 Mg 0.500 0.500 0.000
3 Pa 0.129 0.338 0.500
4 Pa 0.371 0.838 0.500
5 Pa 0.629 0.162 0.500
6 Pa 0.871 0.662 0.500
7 Bi 0.000 0.500 0.000
8 Bi 0.095 0.780 0.000
9 Bi 0.220 0.084 0.500
10 Bi 0.280 0.584 0.500
11 Bi 0.405 0.280 0.000
12 Bi 0.500 0.000 0.000
13 Bi 0.595 0.720 0.000
14 Bi 0.720 0.416 0.500
15 Bi 0.780 0.916 0.500
16 Bi 0.905 0.220 0.000


3.
DFT (PBE) results for a geometry-optimized MgPaBi structure.

Energy relative to the elements ... 0.061 eV per atom

a b c (Å): 16.547 3.339 3.339
angles (deg): 60.00 90.00 90.00
Atoms (fractional coordinates):
1 Mg 0.166 0.000 0.000
2 Mg 0.834 0.000 0.000
3 Pa 0.332 0.667 0.667
4 Pa 0.668 0.667 0.667
5 Bi 0.000 0.667 0.667
6 Bi 0.500 0.999 0.999


4.
DFT (PBE) results for a geometry-optimized MgPaBi3 structure.

Energy relative to the elements ... -0.054 eV per atom

a b c (Å): 7.554 4.488 8.681
angles (deg): 90.00 91.82 90.00
Atoms (fractional coordinates):
1 Mg 0.232 0.250 0.231
2 Mg 0.768 0.750 0.769
3 Pa 0.348 0.750 0.933
4 Pa 0.652 0.250 0.067
5 Bi 0.041 0.250 0.864
6 Bi 0.144 0.750 0.552
7 Bi 0.499 0.250 0.698
8 Bi 0.501 0.750 0.302
9 Bi 0.856 0.250 0.448
10 Bi 0.959 0.750 0.136


5.
DFT (PBE) results for a geometry-optimized MgPa2Bi4 structure.

Energy relative to the elements ... -0.146 eV per atom

a b c (Å): 6.540 6.540 5.037
angles (deg): 90.00 90.00 103.26
Atoms (fractional coordinates):
1 Mg 0.000 0.000 0.000
2 Pa 0.234 0.766 0.500
3 Pa 0.766 0.234 0.500
4 Bi 0.000 0.500 0.000
5 Bi 0.267 0.267 0.500
6 Bi 0.500 0.000 0.000
7 Bi 0.733 0.733 0.500


6.
DFT (PBE) results for a geometry-optimized MgPa2Bi4 structure.

Energy relative to the elements ... -0.074 eV per atom

a b c (Å): 4.487 4.487 10.743
angles (deg): 90.00 90.00 90.00
Atoms (fractional coordinates):
1 Mg 0.000 0.000 0.000
2 Pa 0.000 0.500 0.730
3 Pa 0.500 0.000 0.270
4 Bi 0.000 0.000 0.500
5 Bi 0.000 0.500 0.182
6 Bi 0.500 0.000 0.818
7 Bi 0.500 0.500 0.500


Number 1: volume 172.0 Å³/cell. Number 2: volume 468.6 Å³/cell. Number 3: volume 159.7 Å³/cell. Number 4: volume 294.2 Å³/cell. Number 5: volume 209.7 Å³/cell. Number 6: volume 216.3 Å³/cell.